[1]
Density functional theory data (PBE) for crystalline Mg2Cd2AgHg2 at its relaxed geometry.

The structure in CIF format:
```
data_Mg2Cd2AgHg2
_chemical_formula_sum 'Mg2 Cd2 Ag1 Hg2'
_cell_length_a 5.7275
_cell_length_b 5.7275
_cell_length_c 8.4611
_cell_angle_alpha 123.59
_cell_angle_beta 123.59
_cell_angle_gamma 47.07
_space_group_name_H-M_alt 'P 1'
_space_group_IT_number 1
_space_group_name_Hall 'P 1'
loop_
_atom_site_label
_atom_site_fract_x
_atom_site_fract_y
_atom_site_fract_z
_atom_site_occupancy
Mg1 0.1892 0.1892 0.1308 1
Mg2 0.8108 0.8108 0.8692 1
Cd1 0.1526 0.1526 0.4872 1
Cd2 0.8474 0.8474 0.5128 1
Ag1 0.5000 0.5000 0.5000 1
Hg1 0.4708 0.4708 0.1452 1
Hg2 0.5292 0.5292 0.8548 1
```

calculated formation energy: -0.042 eV per atom
symmetry: C2/m

***

[2]
Density functional theory data (PBE) for crystalline HfAg2I at its relaxed geometry.

The structure in CIF format:
```
data_HfAg2I
_chemical_formula_sum 'Hf1 Ag2 I1'
_cell_length_a 5.5497
_cell_length_b 5.5497
_cell_length_c 5.9719
_cell_angle_alpha 116.10
_cell_angle_beta 116.10
_cell_angle_gamma 35.39
_space_group_name_H-M_alt 'P 1'
_space_group_IT_number 1
_space_group_name_Hall 'P 1'
loop_
_atom_site_label
_atom_site_fract_x
_atom_site_fract_y
_atom_site_fract_z
_atom_site_occupancy
Hf1 0.0000 0.0000 0.0000 1
Ag1 0.3040 0.3040 0.5759 1
Ag2 0.5449 0.5449 0.4388 1
I1 0.7212 0.7212 0.0105 1
```

uncorrected formation energy: 0.212 eV per atom
energy above the lowest structure with this stoichiometry: 1.12 eV per formula unit
symmetry: Cm

***

[3]
Density functional theory data (PBE) for crystalline SbOsBr2 at its relaxed geometry.

The structure in CIF format:
```
data_SbOsBr2
_chemical_formula_sum 'Sb1 Os1 Br2'
_cell_length_a 3.3316
_cell_length_b 3.3316
_cell_length_c 11.8967
_cell_angle_alpha 90.00
_cell_angle_beta 90.00
_cell_angle_gamma 124.90
_space_group_name_H-M_alt 'P 1'
_space_group_IT_number 1
_space_group_name_Hall 'P 1'
loop_
_atom_site_label
_atom_site_fract_x
_atom_site_fract_y
_atom_site_fract_z
_atom_site_occupancy
Sb1 0.0000 0.0000 0.0000 1
Os1 0.0000 0.0000 0.5000 1
Br1 0.5000 0.5000 0.3335 1
Br2 0.5000 0.5000 0.6665 1
```

uncorrected formation energy: 0.713 eV per atom
energy above the lowest structure with this stoichiometry: 1.73 eV per formula unit
symmetry: Cmmm

***

[4]
Density functional theory data (PBE) for crystalline RbSrHg2F at its relaxed geometry.

The structure in CIF format:
```
data_RbSrHg2F
_chemical_formula_sum 'Rb1 Sr1 Hg2 F1'
_cell_length_a 6.5421
_cell_length_b 6.5421
_cell_length_c 4.8870
_cell_angle_alpha 90.00
_cell_angle_beta 90.00
_cell_angle_gamma 90.00
_space_group_name_H-M_alt 'P 1'
_space_group_IT_number 1
_space_group_name_Hall 'P 1'
loop_
_atom_site_label
_atom_site_fract_x
_atom_site_fract_y
_atom_site_fract_z
_atom_site_occupancy
Rb1 0.0000 0.0000 0.0000 1
Sr1 0.5000 0.5000 0.5000 1
Hg1 0.0000 0.5000 0.0000 1
Hg2 0.5000 0.0000 0.0000 1
F1 0.0000 0.0000 0.5000 1
```

uncorrected formation energy: -0.763 eV per atom
symmetry: P4/mmm

***

| no. | total magnetization (μB per atom) | Fermi-level density of states (states/eV per cell) |
| --- | --- | --- |
| 1 | 0.000 | 2.465 |
| 2 | 0.000 | 2.110 |
| 3 | 0.000 | 3.118 |
| 4 | 0.000 | 1.148 |